[1]
TiZnTcAu: relaxed, PBE-GGA.

Cell lengths 4.4286, 4.4286, 4.4286 Å; angles 60.00, 60.00, 60.00 degrees
Sites, in units of the cell vectors:
Zn 0.7500 0.7500 0.7500
Au 0.5000 0.5000 0.5000
Tc 0.0000 0.0000 0.0000
Ti 0.2500 0.2500 0.2500

Mass density ... 11038 kg/m³
Symmetry ... F-43m, No. 216
DFT formation energy ... -190 meV/atom
N(E_F) ... 0.8 states/eV per cell
Spin magnetization ... 0.00 μB per formula unit
E_tot ... -5.89 eV/atom

---

[2]
HoPuZr2: relaxed, PBE-GGA.

Cell lengths 3.3198, 3.3198, 10.8384 Å; angles 81.19, 81.19, 59.99 degrees
Last column: magnetic moment on the atom in μB.
Sites, in units of the cell vectors:
Ho 0.6668 0.6668 0.9987  0.01
Pu 0.5000 0.5000 0.4998  5.24
Zr 0.0858 0.0858 0.7434  -0.09
Zr 0.2474 0.2474 0.2581  -0.14

Mass density ... 9646 kg/m³
Symmetry ... R3m, No. 160
DFT formation energy ... 145 meV/atom
N(E_F) ... 9.3 states/eV per cell
Spin magnetization ... 5.18 μB per formula unit
E_tot ... -8.86 eV/atom

---

[3]
K3Dy2HoTe6: relaxed, PBE-GGA.

Cell lengths 7.7757, 7.7757, 8.6396 Å; angles 98.63, 98.63, 119.99 degrees
Sites, in units of the cell vectors:
K 0.1670 0.8330 0.5000
K 0.8330 0.1670 0.5000
K 0.5000 0.5000 0.5000
Dy 0.3334 0.6666 0.0000
Dy 0.6666 0.3334 0.0000
Ho 0.0000 0.0000 0.0000
Te 0.9307 0.5983 0.7919
Te 0.7370 0.7370 0.2082
Te 0.0693 0.4017 0.2081
Te 0.5983 0.9307 0.7919
Te 0.2630 0.2630 0.7918
Te 0.4017 0.0693 0.2081

Mass density ... 5282 kg/m³
Symmetry ... C2/m, No. 12
Spin magnetization ... 0.00 μB per formula unit
E_tot ... -4.39 eV/atom
Formation energy from raw total energies ... -1395 meV/atom

---

[4]
NaBeZn3: relaxed, PBE-GGA.

Cell lengths 5.2512, 5.2512, 5.2512 Å; angles 90.00, 90.00, 90.00 degrees
Sites, in units of the cell vectors:
Na 0.0000 0.0000 0.0000
Zn 0.0000 0.5000 0.0000
Zn 0.0000 0.0000 0.5000
Zn 0.5000 0.0000 0.0000
Be 0.5000 0.5000 0.5000

Mass density ... 2617 kg/m³
Symmetry ... Pm-3m, No. 221
DFT formation energy ... 1188 meV/atom
N(E_F) ... 2.2 states/eV per cell
Spin magnetization ... 0.00 μB per formula unit
E_tot ... -0.59 eV/atom

---

[5]
CeNb2C: relaxed, PBE-GGA.

Cell lengths 2.8517, 2.8517, 8.2235 Å; angles 90.00, 90.00, 90.00 degrees
Sites, in units of the cell vectors:
Nb 0.0000 0.0000 0.8398
Nb 0.0000 0.0000 0.1602
C 0.5000 0.5000 0.0000
Ce 0.5000 0.5000 0.5000

Mass density ... 8391 kg/m³
Symmetry ... P4/mmm, No. 123
DFT formation energy ... 325 meV/atom
N(E_F) ... 5.7 states/eV per cell
Spin magnetization ... 0.00 μB per formula unit
E_tot ... -8.50 eV/atom

---

[6]
KDyPb2: relaxed, PBE-GGA.

Cell lengths 4.1108, 4.1108, 8.0655 Å; angles 90.00, 90.00, 90.00 degrees
Sites, in units of the cell vectors:
Pb 0.0000 0.0000 0.8031
Pb 0.0000 0.0000 0.1969
K 0.5000 0.5000 0.5000
Dy 0.5000 0.5000 0.0000

Mass density ... 7505 kg/m³
Symmetry ... P4/mmm, No. 123
DFT formation energy ... -306 meV/atom
N(E_F) ... 2.2 states/eV per cell
Spin magnetization ... 0.00 μB per formula unit
E_tot ... -3.59 eV/atom

---

[7]
Cd2SiTc: relaxed, PBE-GGA.

Cell lengths 4.9156, 4.9156, 4.8870 Å; angles 70.94, 70.94, 39.74 degrees
Last column: magnetic moment on the atom in μB.
Sites, in units of the cell vectors:
Cd 0.9944 0.9944 0.9870  0.00
Cd 0.7625 0.7625 0.7743  0.00
Si 0.5200 0.5200 0.4060  0.00
Tc 0.2232 0.2232 0.3328  0.30

Mass density ... 8230 kg/m³
Symmetry ... Cm, No. 8
N(E_F) ... 2.7 states/eV per cell
Spin magnetization ... 0.33 μB per formula unit
E_tot ... -4.19 eV/atom
Formation energy from raw total energies ... 210 meV/atom

---

[8]
Hf2Zr2Ir3: relaxed, PBE-GGA.

Cell lengths 4.6231, 4.6076, 7.9208 Å; angles 90.03, 107.03, 119.94 degrees
Sites, in units of the cell vectors:
Hf 0.2547 0.1273 0.3831
Hf 0.7453 0.8727 0.6169
Zr 0.7571 0.3786 0.1355
Zr 0.2429 0.6214 0.8645
Ir 0.0000 0.0000 0.0000
Ir 0.4973 0.2487 0.7460
Ir 0.5027 0.7513 0.2540

Mass density ... 13470 kg/m³
Symmetry ... P-1, No. 2
DFT formation energy ... -759 meV/atom
N(E_F) ... 4.8 states/eV per cell
Spin magnetization ... 0.00 μB per formula unit
E_tot ... -9.84 eV/atom

---

[9]
MnIn2Se: relaxed, PBE-GGA.

Cell lengths 3.6319, 3.6440, 7.5198 Å; angles 61.03, 90.00, 90.00 degrees
Last column: magnetic moment on the atom in μB.
Sites, in units of the cell vectors:
In 0.0000 0.9920 0.0086  -0.01
In 0.0000 0.5080 0.4914  -0.01
Mn 0.5000 0.2500 0.2500  3.82
Se 0.5000 0.7500 0.7500  0.02

Mass density ... 6933 kg/m³
Symmetry ... Pmmm, No. 47
N(E_F) ... 1.8 states/eV per cell
Spin magnetization ... 3.99 μB per formula unit
E_tot ... -4.39 eV/atom
Formation energy from raw total energies ... 147 meV/atom

---

[10]
Pt3Au: relaxed, PBE-GGA.

Cell lengths 5.1249, 5.1249, 5.1249 Å; angles 90.00, 90.00, 90.00 degrees
Sites, in units of the cell vectors:
Pt 0.0000 0.2500 0.5000
Pt 0.0000 0.7500 0.5000
Pt 0.2500 0.5000 0.0000
Pt 0.5000 0.0000 0.2500
Pt 0.5000 0.0000 0.7500
Pt 0.7500 0.5000 0.0000
Au 0.0000 0.0000 0.0000
Au 0.5000 0.5000 0.5000

Mass density ... 19300 kg/m³
Symmetry ... Pm-3n, No. 223
DFT formation energy ... 308 meV/atom
N(E_F) ... 15.9 states/eV per cell
Spin magnetization ... 0.00 μB per formula unit
E_tot ... -5.04 eV/atom

---

[11]
Ta2OsBr: relaxed, PBE-GGA.

Cell lengths 4.1778, 4.1054, 4.1054 Å; angles 90.00, 90.00, 90.00 degrees
Sites, in units of the cell vectors:
Os 0.5000 0.0000 0.5000
Br 0.5000 0.5000 0.0000
Ta 0.0000 0.0000 0.0000
Ta 0.0000 0.5000 0.5000

Mass density ... 14905 kg/m³
Symmetry ... P4/mmm, No. 123
N(E_F) ... 3.0 states/eV per cell
Spin magnetization ... 0.00 μB per formula unit
E_tot ... -8.20 eV/atom
Formation energy from raw total energies ... 956 meV/atom

---

[12]
Rb2NaTlH: relaxed, PBE-GGA.

Cell lengths 5.9372, 5.9372, 5.0826 Å; angles 90.00, 90.00, 90.00 degrees
Sites, in units of the cell vectors:
Na 0.0000 0.0000 0.5000
Tl 0.5000 0.5000 0.5000
Rb 0.0000 0.5000 0.0000
Rb 0.5000 0.0000 0.0000
H 0.0000 0.0000 0.0000

Mass density ... 3701 kg/m³
Symmetry ... P4/mmm, No. 123
N(E_F) ... 2.9 states/eV per cell
Spin magnetization ... 0.00 μB per formula unit
E_tot ... -1.77 eV/atom

---

[13]
TcMo: relaxed, PBE-GGA.

Cell lengths 5.2023, 5.2023, 5.3968 Å; angles 58.52, 58.52, 50.22 degrees
Sites, in units of the cell vectors:
Tc 0.4166 0.5834 0.0000
Tc 0.0718 0.2384 0.5136
Tc 0.7616 0.9282 0.4864
Mo 0.0933 0.2600 0.9801
Mo 0.7400 0.9067 0.0199
Mo 0.4167 0.5833 0.5000

Mass density ... 10536 kg/m³
Symmetry ... C2/m, No. 12
DFT formation energy ... 81 meV/atom
N(E_F) ... 6.0 states/eV per cell
Spin magnetization ... 0.00 μB per formula unit
E_tot ... -10.52 eV/atom

---

[14]
Mn4Au3: relaxed, PBE-GGA.

Cell lengths 5.3443, 5.3443, 4.9316 Å; angles 90.00, 90.00, 120.00 degrees
Last column: magnetic moment on the atom in μB.
Sites, in units of the cell vectors:
Mn 0.0000 0.0000 0.2548  3.58
Mn 0.0000 0.0000 0.7452  3.58
Mn 0.6667 0.3333 0.5000  3.92
Mn 0.3333 0.6667 0.5000  3.92
Au 0.0000 0.5000 0.0000  0.07
Au 0.5000 0.5000 0.0000  0.07
Au 0.5000 0.0000 0.0000  0.07

Mass density ... 11035 kg/m³
Symmetry ... P6/mmm, No. 191
DFT formation energy ... 369 meV/atom
N(E_F) ... 5.7 states/eV per cell
Spin magnetization ... 15.74 μB per formula unit
E_tot ... -6.28 eV/atom

---

[15]
Tl12Ag3S5: relaxed, PBE-GGA.

Cell lengths 15.1482, 15.1482, 15.1482 Å; angles 109.47, 109.47, 109.47 degrees
Sites, in units of the cell vectors:
Ag 0.7500 0.3750 0.1250
Ag 0.8750 0.7500 0.1250
Ag 0.3750 0.7500 0.6250
Ag 0.2500 0.1250 0.3750
Ag 0.8750 0.1250 0.2500
Ag 0.3750 0.6250 0.2500
Ag 0.6250 0.3750 0.7500
Ag 0.1250 0.8750 0.7500
Ag 0.7500 0.8750 0.6250
Ag 0.6250 0.2500 0.3750
Ag 0.1250 0.2500 0.8750
Ag 0.2500 0.6250 0.8750
S 0.1250 0.3750 0.2500
S 0.0000 0.5000 0.0000
S 0.0000 0.0000 0.0000
S 0.3750 0.2500 0.1250
S 0.5000 0.0000 0.5000
S 0.5000 0.5000 0.0000
S 0.1250 0.7500 0.3750
S 0.7500 0.1250 0.8750
S 0.7500 0.6250 0.3750
S 0.3750 0.1250 0.7500
S 0.6250 0.8750 0.2500
S 0.5000 0.5000 0.5000
S 0.5000 0.0000 0.0000
S 0.0000 0.0000 0.5000
S 0.2500 0.3750 0.6250
S 0.2500 0.8750 0.1250
S 0.0000 0.5000 0.5000
S 0.8750 0.2500 0.6250
S 0.6250 0.7500 0.8750
S 0.8750 0.6250 0.7500
Tl 0.7229 0.1411 0.0524
Tl 0.3295 0.5524 0.4112
Tl 0.9476 0.3589 0.2771
Tl 0.5524 0.2229 0.1411
Tl 0.5817 0.7229 0.6705
Tl 0.9476 0.5888 0.1705
Tl 0.3295 0.7771 0.4183
Tl 0.0888 0.9183 0.1411
Tl 0.5888 0.9476 0.6705
Tl 0.7229 0.5817 0.1705
Tl 0.7771 0.4476 0.3589
Tl 0.8295 0.9112 0.0524
Tl 0.1411 0.7229 0.5524
Tl 0.3589 0.4112 0.0817
Tl 0.0817 0.9112 0.3589
Tl 0.4183 0.1411 0.5888
Tl 0.0817 0.1705 0.2229
Tl 0.4476 0.6705 0.0888
Tl 0.8295 0.9183 0.2771
Tl 0.1411 0.4183 0.0888
Tl 0.3589 0.9476 0.7771
Tl 0.5888 0.6411 0.4183
Tl 0.9112 0.8295 0.5524
Tl 0.7771 0.3295 0.9183
Tl 0.4112 0.3589 0.5817
Tl 0.0888 0.1705 0.4476
Tl 0.2229 0.6705 0.0817
Tl 0.1705 0.0817 0.7229
Tl 0.6411 0.0524 0.2229
Tl 0.8589 0.5817 0.9112
Tl 0.5524 0.3295 0.9112
Tl 0.5817 0.8589 0.4112
Tl 0.9183 0.8295 0.7771
Tl 0.9183 0.0888 0.6411
Tl 0.8589 0.2771 0.4476
Tl 0.1705 0.0888 0.9476
Tl 0.6411 0.5888 0.9183
Tl 0.4112 0.0524 0.3295
Tl 0.2771 0.4183 0.8295
Tl 0.2229 0.5524 0.6411
Tl 0.9112 0.0817 0.8589
Tl 0.6705 0.2229 0.5817
Tl 0.4476 0.7771 0.8589
Tl 0.0524 0.4112 0.8295
Tl 0.4183 0.2771 0.3295
Tl 0.0524 0.6411 0.7229
Tl 0.6705 0.4476 0.5888
Tl 0.2771 0.8589 0.9476

Mass density ... 7289 kg/m³
Symmetry ... Ia-3d, No. 230
N(E_F) ... 13.2 states/eV per cell
Spin magnetization ... 0.00 μB per formula unit
E_tot ... -2.95 eV/atom
Formation energy from raw total energies ... -69 meV/atom

---

[16]
KPRu: relaxed, PBE-GGA.

Cell lengths 4.7473, 4.7473, 4.7473 Å; angles 60.00, 60.00, 60.00 degrees
Last column: magnetic moment on the atom in μB.
Sites, in units of the cell vectors:
K 0.7500 0.7500 0.7500  0.02
P 0.0000 0.0000 0.0000  0.01
Ru 0.5000 0.5000 0.5000  2.02

Mass density ... 3757 kg/m³
Symmetry ... F-43m, No. 216
DFT formation energy ... 1962 meV/atom
N(E_F) ... 10.6 states/eV per cell
Spin magnetization ... 2.31 μB per formula unit
E_tot ... -3.30 eV/atom

---

[17]
Li6Cd5As: relaxed, PBE-GGA.

Cell lengths 4.5861, 8.1182, 8.1182 Å; angles 119.50, 106.42, 106.42 degrees
Sites, in units of the cell vectors:
As 0.0000 0.0000 0.0000
Cd 0.5000 0.1893 0.8107
Cd 0.0000 0.3398 0.6602
Cd 0.5000 0.5000 0.5000
Cd 0.0000 0.6602 0.3398
Cd 0.5000 0.8107 0.1893
Li 0.2298 0.0762 0.3844
Li 0.7702 0.6156 0.9238
Li 0.7129 0.2127 0.2127
Li 0.2871 0.7873 0.7873
Li 0.2298 0.3844 0.0762
Li 0.7702 0.9238 0.6156

Mass density ... 5175 kg/m³
Symmetry ... Immm, No. 71
DFT formation energy ... -319 meV/atom
N(E_F) ... 2.9 states/eV per cell
Spin magnetization ... 0.00 μB per formula unit
E_tot ... -2.04 eV/atom

---

[18]
InAgO2: relaxed, PBE-GGA.

Cell lengths 5.2868, 5.2868, 6.1384 Å; angles 64.49, 64.49, 90.00 degrees
Sites, in units of the cell vectors:
O 0.6734 0.1250 0.2500
O 0.0766 0.6250 0.2500
O 0.3750 0.3266 0.7500
O 0.8750 0.9234 0.7500
Ag 0.5000 0.5000 0.0000
Ag 0.2500 0.7500 0.5000
In 0.0000 0.0000 0.0000
In 0.7500 0.2500 0.5000

Mass density ... 6216 kg/m³
Symmetry ... I-42d, No. 122
N(E_F) ... 0.0 states/eV per cell
Spin magnetization ... 0.00 μB per formula unit
E_tot ... -4.73 eV/atom
Formation energy from raw total energies ... -849 meV/atom

---

[19]
Tb6Pr2Sc3: relaxed, PBE-GGA.

Cell lengths 6.0220, 6.0269, 11.4857 Å; angles 84.95, 79.85, 60.03 degrees
Sites, in units of the cell vectors:
Tb 0.4129 0.6666 0.7626
Tb 0.7464 0.0000 0.7620
Tb 0.0795 0.3334 0.7626
Tb 0.2536 0.0000 0.2380
Tb 0.5871 0.3334 0.2374
Tb 0.9205 0.6666 0.2374
Pr 0.1668 0.6663 0.5000
Pr 0.8332 0.3337 0.5000
Sc 0.0000 0.0000 0.0000
Sc 0.3348 0.3305 0.0000
Sc 0.6652 0.6695 0.0000

Mass density ... 6401 kg/m³
Symmetry ... C2/m, No. 12
DFT formation energy ... 196 meV/atom
N(E_F) ... 16.9 states/eV per cell
Spin magnetization ... 0.00 μB per formula unit
E_tot ... -4.92 eV/atom

---

[20]
HfThBi2N: relaxed, PBE-GGA.

Cell lengths 4.0551, 4.0551, 15.3750 Å; angles 90.00, 90.00, 90.00 degrees
Sites, in units of the cell vectors:
Hf 0.5000 0.0000 0.0642
Hf 0.0000 0.5000 0.9358
Th 0.5000 0.0000 0.5755
Th 0.0000 0.5000 0.4245
Bi 0.0000 0.5000 0.7292
Bi 0.0000 0.5000 0.1337
Bi 0.5000 0.0000 0.8663
Bi 0.5000 0.0000 0.2708
N 0.0000 0.0000 0.5000
N 0.5000 0.5000 0.5000

Mass density ... 11067 kg/m³
Symmetry ... P4/nmm, No. 129
N(E_F) ... 5.8 states/eV per cell
Spin magnetization ... 0.00 μB per formula unit
E_tot ... -7.46 eV/atom
Formation energy from raw total energies ... -767 meV/atom

---

[21]
Pr3NdEr2: relaxed, PBE-GGA.

Cell lengths 3.5130, 6.0266, 10.4744 Å; angles 106.72, 99.65, 90.00 degrees
Sites, in units of the cell vectors:
Pr 0.0000 0.5000 0.0000
Pr 0.8102 0.8102 0.6205
Pr 0.1898 0.1898 0.3795
Nd 0.0000 0.0000 0.0000
Er 0.6382 0.6382 0.2763
Er 0.3618 0.3618 0.7237

Mass density ... 7159 kg/m³
Symmetry ... Immm, No. 71
DFT formation energy ... 319 meV/atom
N(E_F) ... 10.7 states/eV per cell
Spin magnetization ... 0.00 μB per formula unit
E_tot ... -4.39 eV/atom

---

[22]
Nd8Zn2Pt: relaxed, PBE-GGA.

Cell lengths 6.2472, 9.2761, 9.2761 Å; angles 129.55, 104.82, 104.82 degrees
Sites, in units of the cell vectors:
Nd 0.6636 0.4252 0.1630
Nd 0.6636 0.1630 0.4252
Nd 0.0292 0.2196 0.2196
Nd 0.9916 0.1904 0.8065
Nd 0.9916 0.8065 0.1904
Nd 0.7600 0.6752 0.6752
Nd 0.3341 0.8678 0.6423
Nd 0.3341 0.6423 0.8678
Zn 0.4574 0.7215 0.2808
Zn 0.4574 0.2808 0.7215
Pt 0.3172 0.0416 0.0416

Mass density ... 7411 kg/m³
Symmetry ... Cm, No. 8
DFT formation energy ... -229 meV/atom
N(E_F) ... 13.8 states/eV per cell
Spin magnetization ... 0.00 μB per formula unit
E_tot ... -4.48 eV/atom

---

[23]
ScOs3N: relaxed, PBE-GGA.

Cell lengths 4.6855, 4.6855, 4.6855 Å; angles 90.00, 90.00, 90.00 degrees
Last column: magnetic moment on the atom in μB.
Sites, in units of the cell vectors:
Sc 0.0000 0.0000 0.0000  -0.10
Os 0.0000 0.5000 0.0000  1.07
Os 0.0000 0.0000 0.5000  0.88
Os 0.5000 0.0000 0.0000  1.22
N 0.5000 0.5000 0.5000  1.14

Mass density ... 10164 kg/m³
Symmetry ... Pm-3m, No. 221
N(E_F) ... 9.4 states/eV per cell
Spin magnetization ... 4.75 μB per formula unit
E_tot ... -6.00 eV/atom
Formation energy from raw total energies ... 3669 meV/atom